# LiAlCl (PBE, relaxed)
data_LiAlCl
_chemical_formula_sum 'Li2 Al2 Cl2'
_cell_length_a 3.232
_cell_length_b 3.232
_cell_length_c 12.698
_cell_angle_alpha 90.00
_cell_angle_beta 90.00
_cell_angle_gamma 90.00
_space_group_name_H-M_alt 'I 4 m m'
_space_group_IT_number 107
_space_group_name_Hall 'I 4 -2'
loop_
_atom_site_label
_atom_site_type_symbol
_atom_site_fract_x
_atom_site_fract_y
_atom_site_fract_z
Li1 Li 0.000 0.000 0.000
Al1 Al 0.000 0.000 0.322
Cl1 Cl 0.000 0.000 0.548
# Volume (Å³/cell): 132.7
# DOS(E_F) (states/eV/atom): 0.234
# Crystal system: tetragonal
# Calculated density (g cm⁻³): 1.7
# Size of the total moment (μB per formula unit): 0.00
# Formation energy from raw total energies (eV per atom): -0.64

***

# Li2AlCl (PBE, relaxed)
data_Li2AlCl
_chemical_formula_sum 'Li4 Al2 Cl2'
_cell_length_a 5.665
_cell_length_b 3.280
_cell_length_c 8.062
_cell_angle_alpha 90.00
_cell_angle_beta 103.52
_cell_angle_gamma 90.00
_space_group_name_H-M_alt 'C 1 2/m 1'
_space_group_IT_number 12
loop_
_space_group_symop_operation_xyz
'x,y,z'
'-x,-y,-z'
'-x,y,-z'
'x,-y,z'
'x+1/2,y+1/2,z'
'-x+1/2,-y+1/2,-z'
'-x+1/2,y+1/2,-z'
'x+1/2,-y+1/2,z'
loop_
_atom_site_label
_atom_site_type_symbol
_atom_site_fract_x
_atom_site_fract_y
_atom_site_fract_z
Li1 Li 0.233 0.000 0.198
Al1 Al 0.000 0.000 0.500
Cl1 Cl 0.000 0.500 0.000
# Volume (Å³/cell): 145.6
# DOS(E_F) (states/eV/atom): 0.356
# Crystal system: monoclinic
# Calculated density (g cm⁻³): 1.7
# Size of the total moment (μB per formula unit): 0.00
# Formation energy from raw total energies (eV per atom): -0.74

***

Computed values of final energy (unit: eV/atom) for the preceding records, in sequence: -3.14 -3.10.